Computed, not measured: a relaxed structure of RbScSeS at the PBE level of DFT.

Cell lengths 3.943, 3.944, 8.158 Å; angles 90.01, 103.98, 120.00 degrees
Element x y z (fractional)
Rb1 0.962 0.379 0.356
Sc1 0.310 0.553 0.879
Se1 0.513 0.154 0.683
S1 0.092 0.944 0.052

Properties
The formation energy (no corrections) comes out at -1.635 eV/atom.